one:
First-principles (PBE-GGA) data for crystalline Sn3RhBr at its relaxed geometry, as listed in the Alexandria database.

Lattice parameters (Å, degrees): 5.1882 5.1882 5.1882 90.00 90.00 90.00
Fractional coordinates of all 5 atoms:
1 Sn 0.0000 0.0000 0.5000
2 Sn 0.0000 0.5000 0.0000
3 Sn 0.5000 0.0000 0.0000
4 Rh 0.0000 0.0000 0.0000
5 Br 0.5000 0.5000 0.5000

## Properties
D(E_F)   3.285 states/eV/f.u.
Symmetry   Pm-3m (221)

two:
First-principles (PBE-GGA) data for crystalline Sn3RhBr at its relaxed geometry, as listed in the Alexandria database.

Lattice parameters (Å, degrees): 5.4252 5.4252 5.4252 90.00 90.00 90.00
Fractional coordinates of all 5 atoms:
1 Sn 0.0000 0.0000 0.5000
2 Sn 0.0000 0.5000 0.0000
3 Sn 0.5000 0.0000 0.0000
4 Rh 0.5000 0.5000 0.5000
5 Br 0.0000 0.0000 0.0000

## Properties
D(E_F)   5.754 states/eV/f.u.
Symmetry   Pm-3m (221)

Relative energy of each structure, in kJ/mol of atoms: one 0.0; two 123.5.

one:
First-principles (PBE-GGA) data for crystalline Sn2RhBr2 at its relaxed geometry, as listed in the Alexandria database.

Lattice parameters (Å, degrees): 7.6866 7.6866 7.6866 145.92 145.92 48.97
Fractional coordinates of all 5 atoms:
1 Sn 0.1059 0.1059 0.0000
2 Sn 0.8941 0.8941 0.0000
3 Rh 0.5000 0.5000 0.0000
4 Br 0.2500 0.7500 0.5000
5 Br 0.7500 0.2500 0.5000

## Properties
D(E_F)   3.595 states/eV/f.u.
Symmetry   I4/mmm (139)

two:
First-principles (PBE-GGA) data for crystalline Sn2RhBr2 at its relaxed geometry, as listed in the Alexandria database.

Lattice parameters (Å, degrees): 7.3955 7.3955 5.3904 90.00 90.00 90.00
Fractional coordinates of all 10 atoms:
1 Sn 0.2362 0.2638 0.0000
2 Sn 0.2638 0.7638 0.0000
3 Sn 0.7362 0.2362 0.0000
4 Sn 0.7638 0.7362 0.0000
5 Rh 0.0000 0.0000 0.0000
6 Rh 0.5000 0.5000 0.0000
7 Br 0.1718 0.6718 0.5000
8 Br 0.3282 0.1718 0.5000
9 Br 0.6718 0.8282 0.5000
10 Br 0.8282 0.3282 0.5000

## Properties
D(E_F)   2.370 states/eV/f.u.
Symmetry   P4/mbm (127)

Relative energy of each structure, in kJ/mol of atoms: one 61.9; two 0.0.

one:
First-principles (PBE-GGA) data for crystalline SnTeRh2Br at its relaxed geometry, as listed in the Alexandria database.

Lattice parameters (Å, degrees): 4.6928 4.6928 5.6391 90.00 90.00 90.00
Fractional coordinates of all 5 atoms:
1 Sn 0.0000 0.0000 0.0000
2 Te 0.5000 0.5000 0.0000
3 Rh 0.0000 0.5000 0.5000
4 Rh 0.5000 0.0000 0.5000
5 Br 0.0000 0.0000 0.5000

## Properties
D(E_F)   5.951 states/eV/f.u.
Symmetry   P4/mmm (123)

two:
First-principles (PBE-GGA) data for crystalline SnTeRh2Br at its relaxed geometry, as listed in the Alexandria database.

Lattice parameters (Å, degrees): 5.0079 5.0079 5.3427 90.00 90.00 90.00
Fractional coordinates of all 5 atoms:
1 Sn 0.0000 0.0000 0.0000
2 Te 0.5000 0.5000 0.5000
3 Rh 0.0000 0.5000 0.0000
4 Rh 0.5000 0.0000 0.0000
5 Br 0.0000 0.0000 0.5000

## Properties
D(E_F)   6.785 states/eV/f.u.
Symmetry   P4/mmm (123)

Relative energy of each structure, in kJ/mol of atoms: one 0.0; two 13.9.

one:
First-principles (PBE-GGA) data for crystalline SrRhBr at its relaxed geometry, as listed in the Alexandria database.

Lattice parameters (Å, degrees): 6.2110 5.9975 8.0014 90.00 90.00 90.00
Fractional coordinates of all 12 atoms:
1 Sr 0.2101 0.2500 0.0830
2 Sr 0.2899 0.7500 0.5830
3 Sr 0.7101 0.2500 0.4170
4 Sr 0.7899 0.7500 0.9170
5 Rh 0.0376 0.7500 0.2439
6 Rh 0.4624 0.2500 0.7439
7 Rh 0.5376 0.7500 0.2561
8 Rh 0.9624 0.2500 0.7561
9 Br 0.2053 0.2500 0.5071
10 Br 0.2947 0.7500 0.0071
11 Br 0.7053 0.2500 0.9929
12 Br 0.7947 0.7500 0.4929

## Properties
D(E_F)   0.189 states/eV/f.u.
Symmetry   Pnma (62)

two:
First-principles (PBE-GGA) data for crystalline SrRhBr at its relaxed geometry, as listed in the Alexandria database.

Lattice parameters (Å, degrees): 6.5389 6.5389 6.5389 142.23 93.44 98.60
Fractional coordinates of all 6 atoms:
1 Sr 0.2486 0.2500 0.4986
2 Sr 0.7514 0.7500 0.5014
3 Rh 0.1798 0.5000 0.1798
4 Rh 0.3202 0.0000 0.8202
5 Br 0.6039 0.9996 0.1043
6 Br 0.8953 0.4996 0.8957

## Properties
D(E_F)   1.153 states/eV/f.u.
Symmetry   Ima2 (46)

three:
First-principles (PBE-GGA) data for crystalline SrRhBr at its relaxed geometry, as listed in the Alexandria database.

Lattice parameters (Å, degrees): 4.2291 4.2300 11.9458 99.66 91.42 116.94
Fractional coordinates of all 6 atoms:
1 Sr 0.0000 0.0000 0.0000
2 Sr 0.1425 0.2529 0.3978
3 Rh 0.3963 0.8009 0.1990
4 Rh 0.7501 0.4471 0.1990
5 Br 0.6021 0.2495 0.8506
6 Br 0.8517 0.6925 0.5472

## Properties
D(E_F)   1.814 states/eV/f.u.
Symmetry   P1 (1)

Relative energy of each structure, in kJ/mol of atoms: one 41.4; two 24.0; three 0.0.

one:
First-principles (PBE-GGA) data for crystalline SrRhBr at its relaxed geometry, as listed in the Alexandria database.

Lattice parameters (Å, degrees): 5.1403 5.1403 9.3965 90.00 90.00 120.00
Fractional coordinates of all 6 atoms:
1 Sr 0.3333 0.6667 0.2500
2 Sr 0.6667 0.3333 0.7500
3 Rh 0.0000 0.0000 0.0000
4 Rh 0.0000 0.0000 0.5000
5 Br 0.0000 0.0000 0.2500
6 Br 0.0000 0.0000 0.7500

## Properties
D(E_F)   1.111 states/eV/f.u.
Symmetry   P6_3/mmc (194)

two:
First-principles (PBE-GGA) data for crystalline SrRhBr at its relaxed geometry, as listed in the Alexandria database.

Lattice parameters (Å, degrees): 5.0289 5.0289 5.0289 60.00 60.00 60.00
Fractional coordinates of all 3 atoms:
1 Sr 0.0000 0.0000 0.0000
2 Rh 0.2500 0.2500 0.2500
3 Br 0.7500 0.7500 0.7500

## Properties
D(E_F)   4.451 states/eV/f.u.
Symmetry   F-43m (216)

Relative energy of each structure, in kJ/mol of atoms: one 0.0; two 18.8.

one:
First-principles (PBE-GGA) data for crystalline SrRhBr at its relaxed geometry, as listed in the Alexandria database.

Lattice parameters (Å, degrees): 5.0159 5.0159 6.1101 90.00 90.00 90.00
Fractional coordinates of all 6 atoms:
1 Sr 0.2500 0.2500 0.1691
2 Sr 0.7500 0.7500 0.8309
3 Rh 0.2500 0.2500 0.7061
4 Rh 0.7500 0.7500 0.2939
5 Br 0.2500 0.7500 0.5000
6 Br 0.7500 0.2500 0.5000

## Properties
D(E_F)   1.989 states/eV/f.u.
Symmetry   P4/nmm (129)

two:
First-principles (PBE-GGA) data for crystalline SrRhBr at its relaxed geometry, as listed in the Alexandria database.

Lattice parameters (Å, degrees): 4.2326 4.2326 11.6921 92.51 92.51 63.02
Fractional coordinates of all 6 atoms:
1 Sr 0.0146 0.0146 0.1990
2 Sr 0.9854 0.9854 0.8010
3 Rh 0.3232 0.3232 0.0018
4 Rh 0.6768 0.6768 0.9982
5 Br 0.3171 0.3171 0.6518
6 Br 0.6829 0.6829 0.3482

## Properties
D(E_F)   1.807 states/eV/f.u.
Symmetry   C2/m (12)

three:
First-principles (PBE-GGA) data for crystalline SrRhBr at its relaxed geometry, as listed in the Alexandria database.

Lattice parameters (Å, degrees): 6.1079 6.1079 6.1079 115.88 88.37 126.31
Fractional coordinates of all 6 atoms:
1 Sr 0.0000 0.0000 0.0000
2 Sr 0.5000 0.0000 0.5000
3 Rh 0.3713 0.6212 0.7500
4 Rh 0.6288 0.3787 0.2500
5 Br 0.0000 0.0000 0.5000
6 Br 0.0000 0.5000 0.0000

## Properties
D(E_F)   0.636 states/eV/f.u.
Symmetry   Imma (74)

four:
First-principles (PBE-GGA) data for crystalline SrRhBr at its relaxed geometry, as listed in the Alexandria database.

Lattice parameters (Å, degrees): 5.9386 5.9386 8.5561 111.93 111.93 41.71
Fractional coordinates of all 6 atoms:
1 Sr 0.0000 0.0000 0.0000
2 Sr 0.1749 0.1749 0.6090
3 Rh 0.4863 0.4863 0.7060
4 Rh 0.8892 0.8892 0.5882
5 Br 0.2912 0.2912 0.0085
6 Br 0.6515 0.6515 0.3071

## Properties
D(E_F)   1.857 states/eV/f.u.
Symmetry   Cm (8)

Relative energy of each structure, in kJ/mol of atoms: one 72.1; two 0.0; three 62.1; four 22.5.

one:
First-principles (PBE-GGA) data for crystalline SrRhBr at its relaxed geometry, as listed in the Alexandria database.

Lattice parameters (Å, degrees): 3.7975 3.7959 11.5915 90.00 90.01 90.00
Fractional coordinates of all 6 atoms:
1 Sr 0.2496 0.0000 0.2187
2 Sr 0.7504 0.5000 0.7813
3 Rh 0.2503 0.5013 0.0000
4 Rh 0.7497 0.0013 0.0000
5 Br 0.2503 0.9997 0.6477
6 Br 0.7497 0.4997 0.3523

## Properties
D(E_F)   2.405 states/eV/f.u.
Symmetry   P2_1 (4)

two:
First-principles (PBE-GGA) data for crystalline SrRhBr at its relaxed geometry, as listed in the Alexandria database.

Lattice parameters (Å, degrees): 4.7316 4.7316 4.7316 60.00 60.00 60.00
Fractional coordinates of all 3 atoms:
1 Sr 0.0000 0.0000 0.0000
2 Rh 0.2500 0.2500 0.2500
3 Br 0.5000 0.5000 0.5000

## Properties
D(E_F)   0.556 states/eV/f.u.
Symmetry   F-43m (216)

three:
First-principles (PBE-GGA) data for crystalline SrRhBr at its relaxed geometry, as listed in the Alexandria database.

Lattice parameters (Å, degrees): 3.7013 3.7017 11.9822 89.69 89.96 90.00
Fractional coordinates of all 6 atoms:
1 Sr 0.0000 0.0000 0.0000
2 Sr 0.4976 0.4750 0.4318
3 Rh 0.4994 0.4875 0.1930
4 Rh 0.9991 0.9796 0.2388
5 Br 0.5003 0.5024 0.8614
6 Br 0.9974 0.9725 0.5704

## Properties
D(E_F)   2.269 states/eV/f.u.
Symmetry   P1 (1)

Relative energy of each structure, in kJ/mol of atoms: one 0.0; two 58.6; three 3.7.

one:
First-principles (PBE-GGA) data for crystalline SrRhBr3 at its relaxed geometry, as listed in the Alexandria database.

Lattice parameters (Å, degrees): 5.8903 5.8903 5.8903 90.00 90.00 90.00
Fractional coordinates of all 5 atoms:
1 Sr 0.0000 0.0000 0.0000
2 Rh 0.5000 0.5000 0.5000
3 Br 0.0000 0.0000 0.5000
4 Br 0.0000 0.5000 0.0000
5 Br 0.5000 0.0000 0.0000

## Properties
D(E_F)   8.698 states/eV/f.u.
Symmetry   Pm-3m (221)

two:
First-principles (PBE-GGA) data for crystalline SrRhBr3 at its relaxed geometry, as listed in the Alexandria database.

Lattice parameters (Å, degrees): 5.1550 5.1550 5.1550 90.00 90.00 90.00
Fractional coordinates of all 5 atoms:
1 Sr 0.0000 0.0000 0.0000
2 Rh 0.5000 0.5000 0.5000
3 Br 0.0000 0.5000 0.5000
4 Br 0.5000 0.0000 0.5000
5 Br 0.5000 0.5000 0.0000

## Properties
D(E_F)   1.307 states/eV/f.u.
Symmetry   Pm-3m (221)

Relative energy of each structure, in kJ/mol of atoms: one 55.4; two 0.0.